The following is a DFT calculation (GGA-PBE) of a relaxed structure of As2WBr.

```
As2WBr
1.0
-3.2408 3.2408 5.5601
3.2408 -3.2408 5.5601
3.2408 3.2408 -5.5601
As W Br
4 2 2
Direct
0.0414 0.6250 0.9164
0.3750 0.2914 0.4164
0.7086 0.1250 0.0836
0.8750 0.9586 0.5836
0.0000 0.0000 0.0000
0.7500 0.2500 0.5000
0.2500 0.7500 0.5000
0.5000 0.5000 0.0000
```

* polymorph energy (0 for the lowest one): 0.461 eV per atom
* uncorrected formation energy: 0.54 eV per atom

***

The following is a DFT calculation (GGA-PBE) of a relaxed structure of Cu3PbCl8.

```
Cu3PbCl8
1.0
6.4432 0.0000 0.0000
-3.2216 5.5800 0.0000
0.0000 0.0000 8.0232
Cu Pb Cl
3 1 8
Direct
0.0000 0.0000 0.0000
0.3333 0.6667 0.2373
0.6667 0.3333 0.7627
0.0000 0.0000 0.5000
0.0186 0.7186 0.1842
0.2814 0.3001 0.1842
0.3001 0.0186 0.8158
0.3333 0.6667 0.5136
0.6667 0.3333 0.4864
0.6999 0.9814 0.1842
0.7186 0.6999 0.8158
0.9814 0.2814 0.8158
```

* polymorph energy (0 for the lowest one): 0.040 eV per atom
* uncorrected formation energy: -0.54 eV per atom

***

The following is a DFT calculation (GGA-PBE) of a relaxed structure of KPt3Au.

```
KPt3Au
1.0
5.0707 0.0000 0.0000
0.0000 5.0707 0.0000
0.0000 0.0000 5.0707
K Pt Au
1 3 1
Direct
0.0000 0.0000 0.0000
0.0000 0.5000 0.5000
0.5000 0.0000 0.5000
0.5000 0.5000 0.0000
0.5000 0.5000 0.5000
```

* polymorph energy (0 for the lowest one): 0.000 eV per atom
* energy relative to the elements: 19.93 kcal/mol of atoms

***

The following is a DFT calculation (GGA-PBE) of a relaxed structure of CsBP2Cl.

```
CsBP2Cl
1.0
7.4107 0.0000 0.0000
0.0000 7.4107 0.0000
0.0000 0.0000 6.3906
Cs B P Cl
1 1 2 1
Direct
0.0000 0.0000 0.0000
0.5000 0.5000 0.5000
0.0000 0.5000 0.0000
0.5000 0.0000 0.0000
0.0000 0.0000 0.5000
```

* polymorph energy (0 for the lowest one): 1.694 eV per atom
* uncorrected formation energy: 1.98 eV per atom

***

The following is a DFT calculation (GGA-PBE) of a relaxed structure of Tb5SmIn6.

```
Tb5SmIn6
1.0
2.6786 -8.0388 0.0000
2.6786 8.0388 0.0000
0.0000 0.0000 7.5449
Tb Sm In
5 1 6
Direct
0.0000 0.0000 0.0000
0.3330 0.6670 0.5000
0.3346 0.6654 0.0000
0.6654 0.3346 0.0000
0.6670 0.3330 0.5000
0.0000 0.0000 0.5000
0.1679 0.8321 0.2479
0.1679 0.8321 0.7521
0.5000 0.5000 0.2485
0.5000 0.5000 0.7515
0.8321 0.1679 0.2479
0.8321 0.1679 0.7521
```

* energy relative to the elements: -11.07 kcal/mol of atoms

***

The following is a DFT calculation (GGA-PBE) of a relaxed structure of ErAgGe.

```
ErAgGe
1.0
7.3703 0.0000 0.0000
-3.6851 6.3828 0.0000
0.0000 0.0000 4.0310
Er Ag Ge
3 3 3
Direct
0.0000 0.6069 0.0000
0.3931 0.3931 0.0000
0.6069 0.0000 0.0000
0.0000 0.0000 0.0000
0.3333 0.6667 0.5000
0.6667 0.3333 0.5000
0.0000 0.2684 0.5000
0.2684 0.0000 0.5000
0.7316 0.7316 0.5000
```

* energy relative to the elements: -9.37 kcal/mol of atoms